[1]
Density functional theory data (GGA-PBE) for a geometry-optimized BeHS structure.

Lattice parameters (Å, degrees): 3.4734 3.4737 8.5343 101.38 101.33 90.14
Closest atoms and distances in Å follow each position.
Space group P1 (No. 1)
Unique sites:
Be 0.0000 0.0000 0.0000 x1  4 S 2.12
Be 0.5003 0.5002 0.0002 x1  4 S 2.12
H 0.1770 0.6890 0.5043 x1  1 H 0.75
H 0.3273 0.8386 0.4984 x1  1 H 0.75
S 0.5720 0.0727 0.1490 x1  4 Be 2.12
S 0.9281 0.4278 0.8512 x1  4 Be 2.12

Computed properties:
- raw total energy (eV per atom) = -4.366
- energy relative to the lowest polymorph listed for this composition (meV per atom) = 0
- total magnetic moment (Bohr magnetons per cell) = 0.000

[2]
Density functional theory data (GGA-PBE) for a geometry-optimized Li2PuCoN4 structure.

Lattice parameters (Å, degrees): 5.4005 5.4005 5.8286 90.00 90.00 90.00
Closest atoms and distances in Å follow each position.
Space group I-42m (No. 121)
Unique sites:
Li 0.0000 0.5000 0.2500 x4  4 N 2.02
Pu 0.0000 0.0000 0.0000 x2  8 N 2.38-2.59
Co 0.0000 0.0000 0.5000 x2  4 N 1.76
N 0.1877 0.1877 0.6747 x8  1 Co 1.76

Computed properties:
- raw total energy (eV per atom) = -7.511
- formation energy from raw total energies (eV/f.u.) = -1.52
- total magnetic moment (Bohr magnetons per cell) = 6.856